Here is a geometry-optimized SbP2Pt structure from Alexandria via LeMat-Bulk. Energies are from PBE.

## Properties
Energy relative to the elements, uncorrected, eV/atom: 0.43
Theoretical density, g/cm3: 8.909
Energy, eV/cell: -19.2

Lattice parameters (Å, degrees): 4.639 4.639 4.639 60.00 60.00 60.00
Sites, in units of the cell vectors:
P: 0.500 0.500 0.500
P: 0.750 0.750 0.750
Pt: 0.250 0.250 0.250
Sb: 0.000 0.000 0.000

=====

Here is a geometry-optimized Sb2PPt structure from Alexandria via LeMat-Bulk. Energies are from PBE.

## Properties
Energy relative to the elements, uncorrected, eV/atom: -0.09
Theoretical density, g/cm3: 8.999
Energy, eV/cell: -20.0

Lattice parameters (Å, degrees): 6.977 6.977 6.977 32.39 32.39 32.39
Sites, in units of the cell vectors:
Sb: 0.019 0.019 0.019
Sb: 0.241 0.241 0.241
P: 0.492 0.492 0.492
Pt: 0.762 0.762 0.762

=====

Here is a geometry-optimized SbP2Pt structure from Alexandria via LeMat-Bulk. Energies are from PBE.

## Properties
Energy relative to the elements, uncorrected, eV/atom: 0.32
Theoretical density, g/cm3: 7.741
Energy, eV/cell: -19.7

Lattice parameters (Å, degrees): 3.264 3.264 9.065 90.00 90.00 122.71
Sites, in units of the cell vectors:
P: 0.000 0.000 0.078
P: 0.500 0.500 0.244
Pt: 0.000 0.000 0.465
Sb: 0.500 0.500 0.712

=====

Here is a geometry-optimized SbP2Pt structure from Alexandria via LeMat-Bulk. Energies are from PBE.

## Properties
Energy relative to the elements, uncorrected, eV/atom: -0.05
Theoretical density, g/cm3: 8.715
Energy, eV/cell: -21.2

Lattice parameters (Å, degrees): 3.529 4.687 4.687 68.59 90.00 90.00
Sites, in units of the cell vectors:
P: 0.000 0.024 0.024
P: 0.500 0.251 0.251
Pt: 0.000 0.481 0.481
Sb: 0.500 0.744 0.744

=====

Here is a geometry-optimized SbPPt structure from Alexandria via LeMat-Bulk. Energies are from PBE.

## Properties
Energy relative to the elements, uncorrected, eV/atom: -0.18
Theoretical density, g/cm3: 9.102
Energy, eV/cell: -32.2
Relative energy among the computed polymorphs, meV/atom: 335

Lattice parameters (Å, degrees): 4.183 4.183 8.373 90.00 90.00 120.00
Sites, in units of the cell vectors:
Sb: 0.333 0.667 0.714
Sb: 0.667 0.333 0.214
P: 0.000 0.000 0.940
P: 0.000 0.000 0.440
Pt: 0.333 0.667 0.369
Pt: 0.667 0.333 0.869

=====

Here is a geometry-optimized Sb2PPt structure from Alexandria via LeMat-Bulk. Energies are from PBE.

## Properties
Energy relative to the elements, uncorrected, eV/atom: 0.05
Theoretical density, g/cm3: 8.877
Energy, eV/cell: -19.5

Lattice parameters (Å, degrees): 6.175 6.175 2.953 62.04 62.04 77.22
Sites, in units of the cell vectors:
Sb: 0.000 0.500 0.000
Sb: 0.500 0.000 0.000
P: 0.500 0.500 0.500
Pt: 0.000 0.000 0.500

=====

Here is a geometry-optimized SbPPt structure from Alexandria via LeMat-Bulk. Energies are from PBE.

## Properties
Energy relative to the elements, uncorrected, eV/atom: -0.23
Theoretical density, g/cm3: 9.744
Energy, eV/cell: -16.3
Relative energy among the computed polymorphs, meV/atom: 286

Lattice parameters (Å, degrees): 3.700 3.700 4.999 90.00 90.00 120.00
Sites, in units of the cell vectors:
Sb: 0.333 0.667 0.641
P: 0.000 0.000 0.064
Pt: 0.667 0.333 0.296

=====

Here is a geometry-optimized SbP2Pt structure from Alexandria via LeMat-Bulk. Energies are from PBE.

## Properties
Energy relative to the elements, uncorrected, eV/atom: -0.06
Theoretical density, g/cm3: 8.687
Energy, eV/cell: -21.2

Lattice parameters (Å, degrees): 6.669 6.669 6.669 31.62 31.62 31.62
Sites, in units of the cell vectors:
P: 0.990 0.990 0.990
P: 0.250 0.250 0.250
Pt: 0.511 0.511 0.511
Sb: 0.749 0.749 0.749

=====

Here is a geometry-optimized SbP2Pt structure from Alexandria via LeMat-Bulk. Energies are from PBE.

## Properties
Energy relative to the elements, uncorrected, eV/atom: 0.28
Theoretical density, g/cm3: 8.385
Energy, eV/cell: -19.9

Lattice parameters (Å, degrees): 3.110 3.110 7.754 90.00 90.00 89.97
Sites, in units of the cell vectors:
P: 0.000 0.000 0.067
P: 0.000 0.000 0.433
Pt: 0.500 0.500 0.250
Sb: 0.500 0.500 0.750

=====

Here is a geometry-optimized SbPPt2 structure from Alexandria via LeMat-Bulk. Energies are from PBE.

## Properties
Energy relative to the elements, uncorrected, eV/atom: -0.36
Theoretical density, g/cm3: 11.475
Energy, eV/cell: -23.1
Relative energy among the computed polymorphs, meV/atom: 38

Lattice parameters (Å, degrees): 4.287 4.287 6.161 87.59 87.59 43.98
Sites, in units of the cell vectors:
Sb: 0.496 0.496 0.527
P: 0.754 0.754 0.044
Pt: 0.038 0.038 0.166
Pt: 0.211 0.211 0.764

=====

Here is a geometry-optimized SbPPt3 structure from Alexandria via LeMat-Bulk. Energies are from PBE.

## Properties
Energy relative to the elements, uncorrected, eV/atom: 1.17
Theoretical density, g/cm3: 10.255
Energy, eV/cell: -21.8
Relative energy among the computed polymorphs, meV/atom: 1117

Lattice parameters (Å, degrees): 4.926 4.926 4.926 90.00 90.00 90.00
Sites, in units of the cell vectors:
Sb: 0.000 0.000 0.000
Pt: 0.000 0.500 0.000
Pt: 0.000 0.000 0.500
Pt: 0.500 0.000 0.000
P: 0.500 0.500 0.500

=====

Here is a geometry-optimized Sm2SbPPt6 structure from Alexandria via LeMat-Bulk. Energies are from PBE.

## Properties
Energy relative to the elements, uncorrected, eV/atom: -0.86
Theoretical density, g/cm3: 13.071
Energy, eV/cell: -127.7

Lattice parameters (Å, degrees): 5.607 8.664 8.493 90.00 90.00 90.00
Sites, in units of the cell vectors:
Sm: 0.500 0.746 0.247
Sm: 0.000 0.254 0.747
Sm: 0.500 0.746 0.753
Sm: 0.000 0.254 0.253
Sb: 0.000 0.708 0.500
Sb: 0.500 0.292 0.000
P: 0.500 0.241 0.500
P: 0.000 0.759 0.000
Pt: 0.500 0.118 0.253
Pt: 0.500 0.118 0.747
Pt: 0.000 0.882 0.247
Pt: 0.000 0.882 0.753
Pt: 0.248 0.999 0.500
Pt: 0.752 0.999 0.500
Pt: 0.255 0.456 0.500
Pt: 0.745 0.456 0.500
Pt: 0.755 0.544 0.000
Pt: 0.245 0.544 0.000
Pt: 0.252 0.001 0.000
Pt: 0.748 0.001 0.000